[1]
PBE Y2Al2Ge3, relaxed; energy relative to the elements = -0.5587 eV per atom
1.0
7.5783 -2.0869 0.0000
7.5783 2.0869 0.0000
-7.0304 0.0000 9.5096
Y Al Ge
4 4 6
Cartesian
-1.6508 0.0000 4.2282
-2.3652 0.0000 7.9558
10.4913 0.0000 1.5538
9.7769 0.0000 5.2815
0.2921 0.0000 1.5732
5.4833 0.0000 1.8051
2.6428 0.0000 7.7045
7.8340 0.0000 7.9365
-5.0464 0.0000 9.1666
0.3025 0.0000 6.4518
3.5397 0.0000 3.5792
4.5865 0.0000 5.9305
7.8236 0.0000 3.0578
13.1725 0.0000 0.3431

=====

[2]
PBE BaTl3Pb2, relaxed; energy above the most stable polymorph in this dataset = 0 meV/atom; energy relative to the elements = -0.1548 eV per atom
1.0
3.7140 -8.4716 0.0000
3.7140 8.4716 0.0000
0.0000 0.0000 6.6699
Ba Tl Pb
2 6 4
Cartesian
3.7140 5.9407 5.0024
3.7140 -5.9407 1.6675
1.9341 2.7982 5.0024
3.7140 2.6170 1.6675
1.9341 -2.7982 1.6675
5.4939 2.7982 5.0024
3.7140 -2.6170 5.0024
5.4939 -2.7982 1.6675
2.1238 0.0000 0.0000
2.1238 0.0000 3.3349
5.3042 0.0000 0.0000
5.3042 0.0000 3.3349

=====

[3]
PBE Ac3TcBr3, relaxed; formation energy (no corrections) = -1.11 eV per atom
1.0
9.6737 0.0000 0.0000
0.0000 4.4023 0.0000
-0.8286 0.0000 12.6462
Ac Tc Br
6 2 6
Cartesian
0.5975 1.1006 4.9038
0.5614 1.1006 10.7155
2.7000 3.3017 7.9977
6.1450 1.1006 4.6485
8.2837 3.3017 1.9307
8.2475 3.3017 7.7424
0.6667 1.1006 8.1254
8.1784 3.3017 4.5208
0.9266 1.1006 1.4696
2.7873 3.3017 11.1826
3.3995 3.3017 4.8012
5.4456 1.1006 7.8450
6.0577 1.1006 1.4635
7.9185 3.3017 11.1766

=====

[4]
PBE Ac3LaCd4, relaxed; energy relative to the elements = -0.3004 eV per atom
1.0
4.0456 0.0000 0.0000
0.0000 4.0456 0.0000
0.0000 0.0000 16.1503
Ac La Cd
3 1 4
Cartesian
0.0000 0.0000 0.0000
0.0000 0.0000 4.1240
0.0000 0.0000 12.0263
0.0000 0.0000 8.0752
2.0228 2.0228 2.0498
2.0228 2.0228 6.2227
2.0228 2.0228 9.9276
2.0228 2.0228 14.1005

=====

[5]
PBE ErCo5H11, relaxed; total DFT energy (no corrections) = -77.240 eV per cell
1.0
3.9698 -3.7928 0.0000
3.9698 3.7928 0.0000
-2.4438 0.0000 3.8790
Er Co H
1 5 11
Cartesian
0.0000 0.0000 0.0000
-0.0989 1.3270 2.7268
-0.0989 -1.3270 2.7268
3.9698 0.0000 0.0000
5.5946 1.3270 1.1522
5.5946 -1.3270 1.1522
-1.2219 0.0000 1.9395
1.4959 1.8301 2.6546
2.0737 1.0205 0.4459
0.7621 0.0000 2.2415
3.9998 1.8301 1.2245
2.0737 -1.0205 0.4459
3.4220 1.0205 3.4331
1.4959 -1.8301 2.6546
4.7336 0.0000 1.6376
3.4220 -1.0205 3.4331
3.9998 -1.8301 1.2245

=====

[6]
PBE CrCdBr2, relaxed; energy above the most stable polymorph in this dataset = 140 meV/atom; formation energy (no corrections) = -0.19 eV per atom
1.0
-1.7772 3.7762 4.7677
1.7772 -3.7762 4.7677
1.7772 3.7762 -4.7677
Cr Cd Br
1 1 2
Cartesian
0.0000 0.0000 0.0000
1.7772 0.0000 2.2605
0.0000 0.0000 4.3429
0.0000 3.7762 3.0551

=====

[7]
PBE La8Si3AuI4, relaxed; formation energy (no corrections) = -0.98 eV per atom
1.0
4.4531 2.5710 7.6879
-4.4531 2.5710 7.6879
0.0000 -5.1420 7.6879
La Si Au I
8 3 1 4
Cartesian
-2.2755 -1.3138 13.1310
0.0000 0.0000 5.4082
0.0000 -2.6275 9.9328
-2.2755 1.3138 9.9328
2.2755 -1.3138 13.1310
0.0000 2.6275 13.1310
0.0000 0.0000 17.6556
2.2755 1.3138 9.9328
-4.4531 0.0000 11.5319
-2.2265 1.2855 3.8440
2.2266 1.2855 3.8440
0.0000 0.0000 11.5319
0.0000 0.0000 0.0000
-2.2266 -1.2855 7.6879
-2.2265 1.2855 15.3758
0.0000 2.5710 7.6879

=====

[8]
PBE Na8Hg6Pb, relaxed; energy above the most stable polymorph in this dataset = 0 meV/atom; energy relative to the elements = -0.1714 eV per atom
1.0
4.8454 2.7975 5.3593
-4.8454 2.7975 5.3593
0.0000 -5.5949 5.3593
Na Hg Pb
8 6 1
Cartesian
0.0000 0.0000 1.9554
-0.0975 -2.0751 5.3495
-1.7483 1.1220 5.3495
-1.8459 -0.9531 10.7284
1.8459 0.9531 5.3495
1.7483 -1.1220 10.7284
0.0975 2.0751 10.7284
0.0000 0.0000 14.1225
-1.6934 -2.8000 8.0115
-3.2716 0.0665 8.0664
1.5782 -2.8665 8.0664
-1.5782 2.8665 8.0115
3.2716 -0.0665 8.0115
1.6933 2.8000 8.0664
0.0000 0.0000 8.0390